--- one ---
Ca3VNi PBE relaxed; spin magnetization = 5.625 μB per cell
1.0
5.621 0.000 0.000
0.000 5.621 0.000
0.000 0.000 5.621
Ca V Ni
3 1 1
Cartesian
0.000 0.000 2.811 Ca
0.000 2.811 0.000 Ca
2.811 0.000 0.000 Ca
0.000 0.000 0.000 V
2.811 2.811 2.811 Ni

--- two ---
Ca3VNi PBE relaxed; spin magnetization = 4.309 μB per cell
1.0
5.355 0.000 0.000
0.000 5.355 0.000
0.000 0.000 5.355
Ca V Ni
3 1 1
Cartesian
0.000 0.000 2.678 Ca
0.000 2.678 0.000 Ca
2.678 0.000 0.000 Ca
2.678 2.678 2.678 V
0.000 0.000 0.000 Ni

Pick two: it beats the second-best structure by 59.7 kJ/mol of atoms.